# 1
This record from the Alexandria database describes a relaxed structure of AcNdScZn. The functional is PBE.

Summary:
Energy of formation from the pure elements in meV/atom: 195.1

Cell: 7.7229 7.7229 7.7229 Å, 90.00 90.00 90.00°
Fractional coordinates of all 16 atoms:
1 Ac 0.0000 0.0000 0.0000
2 Ac 0.0000 0.5000 0.5000
3 Ac 0.5000 0.0000 0.5000
4 Ac 0.5000 0.5000 0.0000
5 Nd 0.2500 0.2500 0.7500
6 Nd 0.2500 0.7500 0.2500
7 Nd 0.7500 0.2500 0.2500
8 Nd 0.7500 0.7500 0.7500
9 Sc 0.2500 0.2500 0.2500
10 Sc 0.2500 0.7500 0.7500
11 Sc 0.7500 0.2500 0.7500
12 Sc 0.7500 0.7500 0.2500
13 Zn 0.0000 0.0000 0.5000
14 Zn 0.0000 0.5000 0.0000
15 Zn 0.5000 0.0000 0.0000
16 Zn 0.5000 0.5000 0.5000



# 2
This record from the Alexandria database describes a relaxed structure of Ac2NdSe4. The functional is PBE.

Summary:
Formation energy from raw total energies in meV/atom: -1902

Cell: 14.5113 4.1587 8.8664 Å, 90.00 123.00 90.00°
Fractional coordinates of all 14 atoms:
1 Ac 0.1443 0.0000 0.2056
2 Ac 0.3557 0.5000 0.7944
3 Ac 0.6443 0.5000 0.2056
4 Ac 0.8557 0.0000 0.7944
5 Nd 0.0000 0.5000 0.5000
6 Nd 0.5000 0.0000 0.5000
7 Se 0.0552 0.5000 0.8727
8 Se 0.1683 0.0000 0.5846
9 Se 0.3317 0.5000 0.4154
10 Se 0.4448 0.0000 0.1273
11 Se 0.5552 0.0000 0.8727
12 Se 0.6683 0.5000 0.5846
13 Se 0.8317 0.0000 0.4154
14 Se 0.9448 0.5000 0.1273